Compound: LaTl2As
Source: Alexandria
Functional: PBE-GGA
Structure: relaxed

The structure belongs to space group Immm (No. 71); the cell edges are 4.1680, 4.5894 and 11.9707 Å and the angles 90.00°, 90.00° and 90.00°. The distinct sites, in fractional coordinates, are La at (0.0000, 0.0000, 0.0000), Tl at (0.0000, 0.5000, 0.2230) and As at (0.0000, 0.0000, 0.5000).

The value obtained for the uncorrected energy is -16.428 eV per formula unit. For the energy above the lowest structure with this stoichiometry, the calculation gives 0.19 kcal/mol of atoms. The formation energy from the elements comes out at -530 meV per atom.